# 1
DFT (PBE) results for a relaxed CeSm2Tl2Zn2 crystal.

Structure (extended XYZ):
```
7
Lattice="-3.6573 2.2299 2.1532 -0.5572 -0.3460 4.7492 3.9550 8.2737 3.4868" Properties=species:S:1:pos:R:3 pbc="T T T"
Ce 0.0000 0.0000 0.0000
Sm 1.9190 5.3693 3.0363
Sm -2.1785 4.7882 7.3529
Tl -0.0026 7.8920 7.8344
Tl -0.2569 2.2655 2.5548
Zn -1.8507 2.6238 4.8138
Zn 1.5912 7.5337 5.5754
```

Crystal system   trigonal
E_form   -99 kJ/mol of formula units
Total magnetization   1.3 μB per formula unit
Calculated density   8.69 Mg/m³
Raw total energy   -3.3820 eV per atom

=====

# 2
DFT (PBE) results for a relaxed CeSm4Tm3 crystal.

Structure (extended XYZ):
```
8
Lattice="3.3895 0.0001 -0.4429 0.0516 6.7604 0.3942 -0.2130 2.7495 11.5591" Properties=species:S:1:pos:R:3 pbc="T T T"
Tm 0.0258 3.3802 0.1971
Tm 0.3979 4.9742 3.0442
Tm 2.8302 4.5358 8.4661
Sm 2.4471 6.4222 5.5350
Sm 0.7809 3.0878 5.9753
Sm 0.3707 1.4989 2.8364
Sm 2.8574 8.0111 8.6739
Ce 1.6948 0.0000 -0.2215
```

Crystal system   monoclinic
E_form   153 kJ/mol of formula units
Total magnetization   1.0 μB per formula unit
Calculated density   7.96 Mg/m³
Raw total energy   -4.5802 eV per atom

=====

# 3
DFT (PBE) results for a relaxed CeSm2Tm6 crystal.

Structure (extended XYZ):
```
18
Lattice="-1.8140 -2.0061 5.9238 -3.0379 -8.5620 -2.4305 8.4034 -3.0211 2.9494" Properties=species:S:1:pos:R:3 pbc="T T T"
Ce 6.5850 -4.1837 3.7885
Ce -3.0334 -9.4055 2.6542
Sm 3.5212 -7.5242 1.2474
Sm 1.5748 -4.7533 2.5331
Sm 0.0304 -6.0650 5.1952
Sm 1.9768 -8.8359 3.9096
Tm -0.5752 -7.5035 2.1667
Tm 0.6505 -7.2054 -0.7471
Tm 4.1268 -6.0856 4.2760
Tm 2.9011 -6.3838 7.1898
Tm 2.3458 -3.3322 5.5892
Tm 4.9156 -9.0242 5.9863
Tm 1.2058 -10.2570 0.8535
Tm -1.3641 -4.5650 0.4564
Tm 5.0415 -10.2062 2.7725
Tm 1.3440 -1.4467 1.6143
Tm -1.4899 -3.3829 3.6701
Tm 2.2076 -12.1425 4.8284
```

Crystal system   monoclinic
E_form   112 kJ/mol of formula units
Total magnetization   1.0 μB per formula unit
Calculated density   8.58 Mg/m³
Raw total energy   -4.5595 eV per atom

=====

# 4
DFT (PBE) results for a relaxed CeSm2Tm crystal.

Structure (extended XYZ):
```
4
Lattice="-2.7427 1.5607 -3.9133 -1.1675 -4.7782 -1.0875 -4.0571 0.3155 2.9693" Properties=species:S:1:pos:R:3 pbc="T T T"
Tm -1.3714 0.7804 -1.9566
Sm -2.0286 0.1578 1.4847
Sm -0.5837 -2.3891 -0.5437
Ce -3.9836 -1.4510 -1.0157
```

Crystal system   tetragonal
Relative energy among the computed polymorphs   8.5 meV/atom
E_form   28 kJ/mol of formula units
Total magnetization   0.6 μB per formula unit
Calculated density   7.94 Mg/m³
Raw total energy   -4.8889 eV per atom